BaCaV2Ni3H2O10 | PBE+U | relaxed

Calculated values
Final energy = -0.2226 hartree per atom
Symmetry = No. 1
Excess energy over the best structure of this formula in the dataset = 0.000 eV/atom
DOS(E_F) = 0.0000 states/eV/atom

Cell: 6.1101 6.1282 7.1441 Å, 70.59 87.89 60.53°
With the nearest neighbours (Å) after each atom.
Positions (direct):
Ba 0.0000 0.0000 0.0000  5 O 2.52-2.81, 1 H 2.61
Ca 0.3548 0.3803 0.1392  4 O 2.22-2.44
V 0.6135 0.7463 0.3133  4 O 1.85-1.93
V 0.6303 0.6851 0.7635  4 O 1.82-1.90
Ni 0.1256 0.2202 0.5310  6 O 2.03-2.18
Ni 0.1265 0.7150 0.5480  5 O 2.00-2.18
Ni 0.6309 0.2118 0.5522  6 O 2.02-2.15
H 0.3697 0.2015 0.8345  1 O 1.02
H 0.8461 0.2569 0.2491  1 O 1.01
O 0.2835 0.8243 0.7317  1 V 1.84
O 0.3166 0.3155 0.6857  1 H 1.02
O 0.3950 0.6142 0.3407  1 V 1.85
O 0.4606 0.0217 0.0613  1 H 1.56
O 0.4925 0.0137 0.4363  1 V 1.93, 1 Ni 2.15
O 0.6878 0.4464 0.0265  1 H 1.61
O 0.7713 0.4291 0.6343  1 V 1.90, 1 Ni 2.13
O 0.8499 0.8082 0.7538  1 V 1.82
O 0.9264 0.1202 0.3896  1 H 1.01
O 0.9574 0.6099 0.3046  1 V 1.85